No. 1
Entry from Alexandria: a geometry-optimized LiNdSi2O6 structure (PBE-GGA).

extended XYZ file:
```
20
Lattice="5.155 -4.946 0.000 5.155 4.946 0.000 -2.061 0.000 5.188" Properties=species:S:1:pos:R:3 pbc="T T T"
Li 3.609 2.605 3.891
Li 4.640 -2.605 1.297
Nd 4.640 3.710 1.297
Nd 3.609 -3.710 3.891
Si 2.446 0.783 1.618
Si 1.416 -0.783 4.212
Si 6.833 0.783 0.976
Si 5.803 -0.783 3.571
O 0.920 0.840 0.985
O 3.106 2.202 2.031
O -0.110 -0.840 3.579
O 3.392 0.150 0.394
O 2.362 -0.150 2.988
O 6.173 2.202 0.563
O 2.076 -2.202 4.625
O 5.888 0.150 2.200
O 4.857 -0.150 4.795
O 8.359 0.840 1.609
O 5.143 -2.202 3.157
O 7.329 -0.840 4.203
```

Results
Uncorrected energy ... -7.59 eV per atom

No. 2
Entry from Alexandria: a geometry-optimized Cd3In3Br structure (PBE-GGA).

extended XYZ file:
```
14
Lattice="8.185 0.000 0.000 0.000 8.185 0.000 0.000 0.000 8.185" Properties=species:S:1:pos:R:3 pbc="T T T"
Cd 0.000 2.046 4.092
Cd 0.000 6.139 4.092
Cd 2.046 4.092 0.000
Cd 4.092 0.000 2.046
Cd 4.092 0.000 6.139
Cd 6.139 4.092 0.000
In 0.000 4.092 2.046
In 0.000 4.092 6.139
In 2.046 0.000 4.092
In 4.092 2.046 0.000
In 4.092 6.139 0.000
In 6.139 0.000 4.092
Br 0.000 0.000 0.000
Br 4.092 4.092 4.092
```

Results
Uncorrected energy ... -1.55 eV per atom

No. 3
Entry from Alexandria: a geometry-optimized PrPuAg2O6 structure (PBE-GGA).

extended XYZ file:
```
20
Lattice="5.852 0.000 0.000 0.000 5.974 0.000 -5.715 0.000 8.514" Properties=species:S:1:pos:R:3 pbc="T T T"
Pr 0.000 0.000 0.000
Pr -2.858 2.987 4.257
Pu 0.068 0.000 4.257
Pu 2.926 2.987 0.000
Ag -2.827 0.188 6.422
Ag 0.031 2.799 2.165
Ag 0.106 3.176 6.350
Ag 2.964 5.786 2.092
O -0.561 0.282 2.310
O -3.418 2.705 6.567
O 1.232 3.982 0.464
O -1.625 4.979 4.721
O 2.008 1.252 0.485
O -0.850 1.736 4.742
O 0.987 4.239 3.772
O -1.871 4.723 8.030
O 1.762 0.995 3.793
O -1.095 1.992 8.050
O 3.555 3.269 1.947
O 0.697 5.692 6.205
```

Results
Uncorrected energy ... -7.33 eV per atom

No. 4
Entry from Alexandria: a geometry-optimized TiAg3P structure (PBE-GGA).

extended XYZ file:
```
5
Lattice="4.982 0.000 0.000 0.000 4.982 0.000 0.000 0.000 4.982" Properties=species:S:1:pos:R:3 pbc="T T T"
Ti 0.000 0.000 0.000
Ag 0.000 0.000 2.491
Ag 0.000 2.491 0.000
Ag 2.491 0.000 0.000
P 2.491 2.491 2.491
```

Results
Polymorph energy (0 for the lowest one) ... 840.2 meV per atom
Formation enthalpy at 0 K ... 7.15 eV per formula unit

No. 5
Entry from Alexandria: a geometry-optimized YMnTc2 structure (PBE-GGA).

extended XYZ file:
```
4
Lattice="-1.505 2.364 4.604 1.505 -2.364 4.604 1.505 2.364 -4.604" Properties=species:S:1:pos:R:3 pbc="T T T"
Y 0.000 0.000 0.000
Mn 0.000 0.000 4.604
Tc 1.505 0.000 2.635
Tc 0.000 2.364 1.969
```

Results
Polymorph energy (0 for the lowest one) ... 127.3 meV per atom
Formation enthalpy at 0 K ... 1.15 eV per formula unit

No. 6
Entry from Alexandria: a geometry-optimized DyZr5In6 structure (PBE-GGA).

extended XYZ file:
```
12
Lattice="-2.270 4.440 6.780 2.270 -4.440 6.780 2.270 4.440 -6.780" Properties=species:S:1:pos:R:3 pbc="T T T"
Dy 0.000 0.000 0.000
Zr 2.270 0.000 2.321
Zr 0.000 0.000 4.525
Zr 0.000 4.440 0.000
Zr 0.000 0.000 9.035
Zr 0.000 4.440 4.459
In 2.270 -2.204 4.501
In 2.270 2.251 0.000
In 0.000 2.236 2.279
In 2.270 2.204 4.501
In 0.000 2.189 6.780
In 0.000 6.645 2.279
```

Results
Formation enthalpy at 0 K ... -3.82 eV per formula unit

No. 7
Entry from Alexandria: a geometry-optimized RePbO3 structure (PBE-GGA).

extended XYZ file:
```
10
Lattice="5.745 -2.277 0.000 5.745 2.277 0.000 -3.083 0.000 6.253" Properties=species:S:1:pos:R:3 pbc="T T T"
Re 2.338 0.000 0.037
Re 6.070 0.000 6.216
Pb 2.640 0.000 4.265
Pb 5.768 0.000 1.988
O -1.746 0.000 4.762
O 1.579 0.000 1.732
O 1.209 0.000 6.161
O 7.199 0.000 0.092
O 6.829 0.000 4.521
O 10.154 0.000 1.491
```

Results
Uncorrected energy ... -7.38 eV per atom

No. 8
Entry from Alexandria: a geometry-optimized Rb2Ce2PmSe6 structure (PBE-GGA).

extended XYZ file:
```
11
Lattice="3.731 -6.469 0.000 3.731 6.469 0.000 -2.460 0.000 8.133" Properties=species:S:1:pos:R:3 pbc="T T T"
Rb 3.731 4.322 0.000
Rb 3.731 -4.322 0.000
Ce 2.501 2.148 4.067
Ce 2.501 -2.148 4.067
Pm -1.230 0.000 4.067
Se 0.020 2.189 5.630
Se 1.273 0.000 2.496
Se 0.020 -2.189 5.630
Se 4.982 2.189 2.503
Se 3.730 0.000 5.638
Se 4.982 -2.189 2.503
```

Results
Uncorrected energy ... -5.30 eV per atom

No. 9
Entry from Alexandria: a geometry-optimized TiVMo2Os structure (PBE-GGA).

extended XYZ file:
```
5
Lattice="4.766 0.000 0.000 0.000 4.766 0.000 0.000 0.000 4.463" Properties=species:S:1:pos:R:3 pbc="T T T"
Ti 0.000 0.000 0.000
V 2.383 2.383 0.000
Mo 0.000 2.383 2.232
Mo 2.383 0.000 2.232
Os 2.383 2.383 2.232
```

Results
Formation enthalpy at 0 K ... 6.51 eV per formula unit

No. 10
Entry from Alexandria: a geometry-optimized Ce2As4PdRh3 structure (PBE-GGA).

extended XYZ file:
```
10
Lattice="4.365 0.000 0.000 0.000 4.365 0.000 0.000 0.000 9.764" Properties=species:S:1:pos:R:3 pbc="T T T"
Ce 0.000 2.183 2.402
Ce 2.183 0.000 7.362
As 0.000 0.000 0.000
As 0.000 2.183 6.209
As 2.183 0.000 3.555
As 2.183 2.183 0.000
Pd 0.000 0.000 4.882
Rh 0.000 2.183 8.627
Rh 2.183 0.000 1.137
Rh 2.183 2.183 4.882
```

Results
Formation enthalpy at 0 K ... -9.11 eV per formula unit

No. 11
Entry from Alexandria: a geometry-optimized Ru2CSe structure (PBE-GGA).

extended XYZ file:
```
8
Lattice="-2.522 2.522 4.932 2.522 -2.522 4.932 2.522 2.522 -4.932" Properties=species:S:1:pos:R:3 pbc="T T T"
Ru 3.784 0.879 -1.233
Ru 0.879 1.261 1.233
Ru -1.261 1.644 3.699
Ru 1.644 1.261 6.166
C 0.000 0.000 0.000
C 0.000 2.522 2.466
Se 2.522 0.000 2.466
Se 0.000 0.000 4.932
```

Results
Polymorph energy (0 for the lowest one) ... 0.0 meV per atom

No. 12
Entry from Alexandria: a geometry-optimized PrDyAg2 structure (PBE-GGA).

extended XYZ file:
```
4
Lattice="3.670 0.000 0.000 0.000 3.670 0.000 0.000 0.000 7.560" Properties=species:S:1:pos:R:3 pbc="T T T"
Pr 0.000 0.000 0.000
Dy 0.000 0.000 3.780
Ag 1.835 1.835 2.061
Ag 1.835 1.835 5.500
```

Results
Polymorph energy (0 for the lowest one) ... 0.0 meV per atom
Formation enthalpy at 0 K ... -1.16 eV per formula unit

No. 13
Entry from Alexandria: a geometry-optimized Al2CdSe structure (PBE-GGA).

extended XYZ file:
```
4
Lattice="4.880 0.000 0.000 0.000 3.636 0.000 -1.824 0.000 5.062" Properties=species:S:1:pos:R:3 pbc="T T T"
Al 0.000 0.000 0.000
Al 0.173 1.818 4.392
Cd 1.590 0.000 2.603
Se 3.615 1.818 1.286
```

Results
Polymorph energy (0 for the lowest one) ... 94.2 meV per atom